(1)
TaZnF3 after structural relaxation, computed with PBE.

Results
ΔE_f (raw), eV/atom: -1.62

Cell lengths 4.257, 4.257, 4.257 Å; angles 90.00, 90.00, 90.00 degrees
Fractional coordinates of all 5 atoms:
Zn 0.500 0.500 0.500
F 0.000 0.500 0.000
F 0.500 0.000 0.000
F 0.000 0.000 0.500
Ta 0.000 0.000 0.000


(2)
LiCa4 after structural relaxation, computed with PBE.

Cell lengths 5.895, 5.895, 5.895 Å; angles 90.00, 90.00, 90.00 degrees
Fractional coordinates of all 5 atoms:
Ca 0.000 0.500 0.500
Ca 0.000 0.000 0.000
Ca 0.500 0.500 0.000
Ca 0.500 0.000 0.500
Li 0.500 0.500 0.500


| no. | energy (eV/cell) | E above lowest polymorph (kJ per mole of atoms) |
| --- | --- | --- |
| 1 | -26.865 | 0.00 |
| 2 | -8.984 | 17.38 |